Compound: PuCo2HgO8
Source: Alexandria
Functional: PBE+U
Structure: optimized geometry

Calculated values
For the volume, the calculation gives 159.35 Å³/f.u. The calculation puts the uncorrected energy at -153.139 eV/cell.

a b c (Å): 6.9113 6.9113 6.6720
angles (deg): 90.00 90.00 90.00
Last column: nearest neighbours and their distance in Å.
Space group I-4m2 (No. 119)
One atom of each set of equivalent atoms:
Pu: 0.0000 0.0000 0.0000  4 O 2.01
Co: 0.0000 0.0000 0.5000  4 O 1.71
Co: 0.0000 0.5000 0.7500  4 O 1.96
Hg: 0.0000 0.5000 0.2500  8 O 2.31-2.54
O: 0.0000 0.1721 0.3153  1 Co 1.71
O: 0.0000 0.2853 0.9417  1 Co 1.96, 1 Pu 2.01